Computed, not measured: a geometry-optimized NiBRuF2 structure at the PBE with a Hubbard U level of DFT.

Results
As for the total energy: -4.186 eV per atom.

POSCAR file:
```
NiBRuF2
1.0
3.3825 0.0000 0.0000
0.0000 3.3825 0.0000
0.0000 0.0000 5.0730
Ni B Ru F
1 1 1 2
Direct
0.0000 0.0000 0.0000
0.5000 0.5000 0.5000
0.5000 0.5000 0.0000
0.0000 0.5000 0.5000
0.5000 0.0000 0.5000
```